No. 1
A plane-wave DFT calculation with PBE-GGA was carried out for a geometry-optimized SnSe2NF structure.

The structure in CIF format:
```
data_SnSe2NF
_chemical_formula_sum 'Sn1 Se2 N1 F1'
_space_group_name_H-M_alt 'P 4/m m m'
_space_group_IT_number 123
_space_group_name_Hall '-P 4 2'
_cell_length_a 4.494
_cell_length_b 4.494
_cell_length_c 4.941
_cell_angle_alpha 90.00
_cell_angle_beta 90.00
_cell_angle_gamma 90.00
loop_
_atom_site_label
_atom_site_type_symbol
_atom_site_fract_x
_atom_site_fract_y
_atom_site_fract_z
Sn1 Sn 0.000 0.000 0.000
Se1 Se 0.000 0.500 0.500
N1 N 0.500 0.500 0.000
F1 F 0.500 0.500 0.500
```

Values from the calculation:
- formation energy (no corrections) (meV per atom) = 874
- excess energy over the best structure of this formula in the dataset (eV/atom) = 0.062

---

No. 2
A plane-wave DFT calculation with PBE-GGA was carried out for a geometry-optimized La3Pr5Nd2 structure.

The structure in CIF format:
```
data_La3Pr5Nd2
_chemical_formula_sum 'La12 Pr20 Nd8'
_space_group_name_H-M_alt 'C 1 2/c 1'
_space_group_IT_number 15
_cell_length_a 11.301
_cell_length_b 14.803
_cell_length_c 10.355
_cell_angle_alpha 90.00
_cell_angle_beta 122.85
_cell_angle_gamma 90.00
loop_
_space_group_symop_operation_xyz
'x,y,z'
'-x,-y,-z'
'-x,y,-z+1/2'
'x,-y,z+1/2'
'x+1/2,y+1/2,z'
'-x+1/2,-y+1/2,-z'
'-x+1/2,y+1/2,-z+1/2'
'x+1/2,-y+1/2,z+1/2'
loop_
_atom_site_label
_atom_site_type_symbol
_atom_site_fract_x
_atom_site_fract_y
_atom_site_fract_z
La1 La 0.000 0.227 0.250
La2 La 0.153 0.125 0.059
Pr1 Pr 0.000 0.015 0.250
Pr2 Pr 0.000 0.267 0.750
Pr3 Pr 0.000 0.478 0.750
Pr4 Pr 0.242 0.376 0.239
Nd1 Nd 0.155 0.376 0.554
```

Values from the calculation:
- DFT formation energy (eV/f.u.) = 1.52

---

No. 3
A plane-wave DFT calculation with PBE-GGA was carried out for a geometry-optimized YSnPt2 structure.

The structure in CIF format:
```
data_YSnPt2
_chemical_formula_sum 'Y2 Sn2 Pt4'
_space_group_name_H-M_alt 'P 1 21/m 1'
_space_group_IT_number 11
_cell_length_a 5.821
_cell_length_b 4.337
_cell_length_c 7.094
_cell_angle_alpha 90.00
_cell_angle_beta 112.74
_cell_angle_gamma 90.00
loop_
_space_group_symop_operation_xyz
'x,y,z'
'-x,-y,-z'
'-x,y+1/2,-z'
'x,-y+1/2,z'
loop_
_atom_site_label
_atom_site_type_symbol
_atom_site_fract_x
_atom_site_fract_y
_atom_site_fract_z
Y1 Y 0.227 0.250 0.429
Sn1 Sn 0.178 0.250 0.903
Pt1 Pt 0.326 0.750 0.177
Pt2 Pt 0.337 0.750 0.744
```

Values from the calculation:
- DFT formation energy (eV/f.u.) = -3.97

---

No. 4
A plane-wave DFT calculation with PBE-GGA was carried out for a geometry-optimized CdIn3H structure.

The structure in CIF format:
```
data_CdIn3H
_chemical_formula_sum 'Cd1 In3 H1'
_space_group_name_H-M_alt 'P m -3 m'
_space_group_IT_number 221
_space_group_name_Hall '-P 4 2 3'
_cell_length_a 5.566
_cell_length_b 5.566
_cell_length_c 5.566
_cell_angle_alpha 90.00
_cell_angle_beta 90.00
_cell_angle_gamma 90.00
loop_
_atom_site_label
_atom_site_type_symbol
_atom_site_fract_x
_atom_site_fract_y
_atom_site_fract_z
Cd1 Cd 0.000 0.000 0.000
In1 In 0.000 0.000 0.500
H1 H 0.500 0.500 0.500
```

Values from the calculation:
- excess energy over the best structure of this formula in the dataset (eV/atom) = 0.515

---

No. 5
A plane-wave DFT calculation with PBE-GGA was carried out for a geometry-optimized Sr2SiW structure.

The structure in CIF format:
```
data_Sr2SiW
_chemical_formula_sum 'Sr8 Si4 W4'
_space_group_name_H-M_alt 'I -4 2 d'
_space_group_IT_number 122
_space_group_name_Hall 'I -4 2bw'
_cell_length_a 11.413
_cell_length_b 11.413
_cell_length_c 4.793
_cell_angle_alpha 90.00
_cell_angle_beta 90.00
_cell_angle_gamma 90.00
loop_
_atom_site_label
_atom_site_type_symbol
_atom_site_fract_x
_atom_site_fract_y
_atom_site_fract_z
Sr1 Sr 0.082 0.250 0.125
Si1 Si 0.000 0.000 0.000
W1 W 0.000 0.000 0.500
```

Values from the calculation:
- formation energy (no corrections) (meV per atom) = 754

---

No. 6
A plane-wave DFT calculation with PBE-GGA was carried out for a geometry-optimized PmAg2PO6 structure.

The structure in CIF format:
```
data_PmAg2PO6
_chemical_formula_sum 'Pm1 Ag2 P1 O6'
_space_group_name_H-M_alt 'P 1'
_space_group_IT_number 1
_cell_length_a 5.347
_cell_length_b 5.379
_cell_length_c 5.727
_cell_angle_alpha 64.58
_cell_angle_beta 62.64
_cell_angle_gamma 61.95
loop_
_space_group_symop_operation_xyz
'x,y,z'
loop_
_atom_site_label
_atom_site_type_symbol
_atom_site_fract_x
_atom_site_fract_y
_atom_site_fract_z
Pm1 Pm 0.000 0.000 0.000
Ag1 Ag 0.261 0.244 0.245
Ag2 Ag 0.799 0.775 0.623
P1 P 0.499 0.468 0.544
O1 O 0.211 0.351 0.749
O2 O 0.247 0.785 0.373
O3 O 0.410 0.656 0.776
O4 O 0.620 0.303 0.302
O5 O 0.726 0.162 0.726
O6 O 0.782 0.614 0.343
```

Values from the calculation:
- formation energy (no corrections) (meV per atom) = -1436